<1>
Below is a relaxed SrHgCl4 crystal, with properties calculated at the GGA-PBE level.

```
data_SrHgCl4
_chemical_formula_sum 'Sr4 Hg4 Cl16'
_cell_length_a 8.644
_cell_length_b 8.644
_cell_length_c 8.644
_cell_angle_alpha 90.00
_cell_angle_beta 90.00
_cell_angle_gamma 90.00
_space_group_name_H-M_alt 'F -4 3 m'
_space_group_IT_number 216
_space_group_name_Hall 'F -4 2 3'
loop_
_atom_site_label
_atom_site_type_symbol
_atom_site_fract_x
_atom_site_fract_y
_atom_site_fract_z
_atom_site_occupancy
Sr1 Sr 0.000 0.000 0.000 1
Hg1 Hg 0.250 0.250 0.250 1
Cl1 Cl 0.125 0.125 0.625 1
```

<2>
Below is a relaxed SrHgCl4 crystal, with properties calculated at the GGA-PBE level.

```
data_SrHgCl4
_chemical_formula_sum 'Sr4 Hg4 Cl16'
_cell_length_a 9.426
_cell_length_b 9.426
_cell_length_c 8.902
_cell_angle_alpha 90.00
_cell_angle_beta 90.00
_cell_angle_gamma 90.00
_space_group_name_H-M_alt 'I 41/a m d'
_space_group_IT_number 141
loop_
_space_group_symop_operation_xyz
'x,y,z'
'-x,-y,-z'
'-y+1/4,x+3/4,z+1/4'
'y+1/4,-x+3/4,-z+1/4'
'-x+1/2,-y,z+1/2'
'x+1/2,y,-z+1/2'
'y+1/4,-x+1/4,z+3/4'
'-y+1/4,x+1/4,-z+3/4'
'x,-y,-z'
'-x,y,z'
'-y+1/4,-x+1/4,-z+3/4'
'y+1/4,x+1/4,z+3/4'
'-x+1/2,y,-z+1/2'
'x+1/2,-y,z+1/2'
'y+1/4,x+3/4,-z+1/4'
'-y+1/4,-x+3/4,z+1/4'
'x+1/2,y+1/2,z+1/2'
'-x+1/2,-y+1/2,-z+1/2'
'-y+3/4,x+1/4,z+3/4'
'y+3/4,-x+1/4,-z+3/4'
'-x,-y+1/2,z'
'x,y+1/2,-z'
'y+3/4,-x+3/4,z+1/4'
'-y+3/4,x+3/4,-z+1/4'
'x+1/2,-y+1/2,-z+1/2'
'-x+1/2,y+1/2,z+1/2'
'-y+3/4,-x+3/4,-z+1/4'
'y+3/4,x+3/4,z+1/4'
'-x,y+1/2,-z'
'x,-y+1/2,z'
'y+3/4,x+1/4,-z+3/4'
'-y+3/4,-x+1/4,z+3/4'
loop_
_atom_site_label
_atom_site_type_symbol
_atom_site_fract_x
_atom_site_fract_y
_atom_site_fract_z
_atom_site_occupancy
Sr1 Sr 0.000 0.250 0.375 1
Hg1 Hg 0.000 0.250 0.875 1
Cl1 Cl 0.000 0.065 0.668 1
```

According to the calculations, the structures order from most to least stable as <2>, <1>.